Compound: TaV2As2
Source: Alexandria via LeMat-Bulk
Functional: PBE
Structure: optimized geometry

The calculation puts the polymorph energy (0 for the lowest one) at 0.000 eV per atom. The crystal system is tetragonal. The calculated formation energy is -0.28 eV per atom. For the raw total energy, the calculation gives -8.16 eV per atom.

The structure in CIF format:
```
data_TaV2As2
_symmetry_space_group_name_H-M 'P 4/m b m'
_symmetry_Int_Tables_number 127
_symmetry_space_group_name_Hall '-P 4 2ab'
_cell_length_a 6.9682
_cell_length_b 6.9682
_cell_length_c 3.1279
_cell_angle_alpha 90.00
_cell_angle_beta 90.00
_cell_angle_gamma 90.00
loop_
_atom_site_label
_atom_site_fract_x
_atom_site_fract_y
_atom_site_fract_z
Ta1 0.0000 0.0000 0.0000
V1 0.1404 0.3596 0.5000
As1 0.1511 0.6511 0.0000
```